# Ac4Tb6Nd, optimized geometry, DFT PBE
data_Ac4Tb6Nd
_cell_length_a 7.7284
_cell_length_b 7.7284
_cell_length_c 14.3665
_cell_angle_alpha 90.00
_cell_angle_beta 90.00
_cell_angle_gamma 90.00
_space_group_name_H-M_alt 'I -4 2 m'
_space_group_IT_number 121
_space_group_name_Hall 'I -4 2'
loop_
_atom_site_label
_atom_site_type_symbol
_atom_site_fract_x
_atom_site_fract_y
_atom_site_fract_z
Ac1 Ac 0.2249 0.2249 0.3123
Tb1 Tb 0.0000 0.5000 0.0000
Tb2 Tb 0.1636 0.1636 0.0770
Nd1 Nd 0.0000 0.0000 0.5000
# - energy of formation from the pure elements (eV per atom) = 0.29
# - size of the total moment (μB per formula unit) = 0.0
# - mass density (g cm⁻³) = 7.8

---

# TbDy6TmTh2, optimized geometry, DFT PBE
data_TbDy6TmTh2
_cell_length_a 8.9098
_cell_length_b 14.7161
_cell_length_c 10.0301
_cell_angle_alpha 90.00
_cell_angle_beta 102.05
_cell_angle_gamma 90.00
_space_group_name_H-M_alt 'C 1 2/c 1'
_space_group_IT_number 15
loop_
_space_group_symop_operation_xyz
'x,y,z'
'-x,-y,-z'
'-x,y,-z+1/2'
'x,-y,z+1/2'
'x+1/2,y+1/2,z'
'-x+1/2,-y+1/2,-z'
'-x+1/2,y+1/2,-z+1/2'
'x+1/2,-y+1/2,z+1/2'
loop_
_atom_site_label
_atom_site_type_symbol
_atom_site_fract_x
_atom_site_fract_y
_atom_site_fract_z
Tb1 Tb 0.0000 0.0100 0.2500
Dy1 Dy 0.0751 0.1878 0.9484
Dy2 Dy 0.0916 0.3993 0.1168
Dy3 Dy 0.2032 0.2244 0.3211
Tm1 Tm 0.0000 0.4037 0.7500
Th1 Th 0.2285 0.0463 0.5428
# - energy of formation from the pure elements (eV per atom) = 0.15
# - size of the total moment (μB per formula unit) = 0.0
# - mass density (g cm⁻³) = 9.1

---

# HfZr6Cd, optimized geometry, DFT PBE
data_HfZr6Cd
_cell_length_a 6.1001
_cell_length_b 10.0351
_cell_length_c 5.9900
_cell_angle_alpha 90.00
_cell_angle_beta 92.78
_cell_angle_gamma 90.00
_space_group_name_H-M_alt 'C 1 2/m 1'
_space_group_IT_number 12
loop_
_space_group_symop_operation_xyz
'x,y,z'
'-x,-y,-z'
'-x,y,-z'
'x,-y,z'
'x+1/2,y+1/2,z'
'-x+1/2,-y+1/2,-z'
'-x+1/2,y+1/2,-z'
'x+1/2,-y+1/2,z'
loop_
_atom_site_label
_atom_site_type_symbol
_atom_site_fract_x
_atom_site_fract_y
_atom_site_fract_z
Hf1 Hf 0.0000 0.0000 0.0000
Zr1 Zr 0.0700 0.5000 0.7542
Zr2 Zr 0.1930 0.2653 0.2385
Cd1 Cd 0.0000 0.0000 0.5000
# - energy of formation from the pure elements (eV per atom) = 0.13
# - size of the total moment (μB per formula unit) = 0.0
# - mass density (g cm⁻³) = 7.6

---

# KLiLa2Ru, optimized geometry, DFT PBE
data_KLiLa2Ru
_cell_length_a 5.4009
_cell_length_b 5.4009
_cell_length_c 5.9589
_cell_angle_alpha 90.00
_cell_angle_beta 90.00
_cell_angle_gamma 90.00
_space_group_name_H-M_alt 'P 4/m m m'
_space_group_IT_number 123
_space_group_name_Hall '-P 4 2'
loop_
_atom_site_label
_atom_site_type_symbol
_atom_site_fract_x
_atom_site_fract_y
_atom_site_fract_z
K1 K 0.0000 0.0000 0.0000
Li1 Li 0.5000 0.5000 0.0000
La1 La 0.0000 0.5000 0.5000
Ru1 Ru 0.5000 0.5000 0.5000
# - energy of formation from the pure elements (eV per atom) = 0.06
# - size of the total moment (μB per formula unit) = 0.0
# - mass density (g cm⁻³) = 4.1

---

# ScVCo, optimized geometry, DFT PBE
data_ScVCo
_cell_length_a 2.9908
_cell_length_b 2.9908
_cell_length_c 10.1365
_cell_angle_alpha 90.00
_cell_angle_beta 90.00
_cell_angle_gamma 90.00
_space_group_name_H-M_alt 'I 4 m m'
_space_group_IT_number 107
_space_group_name_Hall 'I 4 -2'
loop_
_atom_site_label
_atom_site_type_symbol
_atom_site_fract_x
_atom_site_fract_y
_atom_site_fract_z
Sc1 Sc 0.0000 0.0000 0.0000
V1 V 0.0000 0.0000 0.6956
Co1 Co 0.0000 0.0000 0.3141
# - energy of formation from the pure elements (eV per atom) = -0.04
# - size of the total moment (μB per formula unit) = 0.9
# - mass density (g cm⁻³) = 5.7

---

# Zr2WAu, optimized geometry, DFT PBE
data_Zr2WAu
_cell_length_a 3.5294
_cell_length_b 3.5294
_cell_length_c 6.2713
_cell_angle_alpha 90.00
_cell_angle_beta 90.00
_cell_angle_gamma 90.00
_space_group_name_H-M_alt 'P 4 m m'
_space_group_IT_number 99
loop_
_space_group_symop_operation_xyz
'x,y,z'
'-y,x,z'
'-x,-y,z'
'y,-x,z'
'-x,y,z'
'y,x,z'
'x,-y,z'
'-y,-x,z'
loop_
_atom_site_label
_atom_site_type_symbol
_atom_site_fract_x
_atom_site_fract_y
_atom_site_fract_z
Zr1 Zr 0.0000 0.0000 0.0000
Zr2 Zr 0.5000 0.5000 0.2853
W1 W 0.5000 0.5000 0.7819
Au1 Au 0.0000 0.0000 0.5237
# - energy of formation from the pure elements (eV per atom) = 0.08
# - size of the total moment (μB per formula unit) = 0.0
# - mass density (g cm⁻³) = 12.0

---

# La5Pr4Mg2, optimized geometry, DFT PBE
data_La5Pr4Mg2
_cell_length_a 20.6212
_cell_length_b 3.5591
_cell_length_c 11.1714
_cell_angle_alpha 90.00
_cell_angle_beta 106.27
_cell_angle_gamma 90.00
_space_group_name_H-M_alt 'C 1 2/m 1'
_space_group_IT_number 12
loop_
_space_group_symop_operation_xyz
'x,y,z'
'-x,-y,-z'
'-x,y,-z'
'x,-y,z'
'x+1/2,y+1/2,z'
'-x+1/2,-y+1/2,-z'
'-x+1/2,y+1/2,-z'
'x+1/2,-y+1/2,z'
loop_
_atom_site_label
_atom_site_type_symbol
_atom_site_fract_x
_atom_site_fract_y
_atom_site_fract_z
La1 La 0.0000 0.0000 0.0000
La2 La 0.1647 0.5000 0.0248
La3 La 0.1651 0.5000 0.3517
Pr1 Pr 0.0335 0.5000 0.7369
Pr2 Pr 0.1901 0.0000 0.7483
Mg1 Mg 0.0711 0.0000 0.4961
# - energy of formation from the pure elements (eV per atom) = 0.15
# - size of the total moment (μB per formula unit) = 0.7
# - mass density (g cm⁻³) = 5.5

---

# Mg2ZrF8, optimized geometry, DFT PBE
data_Mg2ZrF8
_cell_length_a 6.2000
_cell_length_b 9.2837
_cell_length_c 4.0128
_cell_angle_alpha 90.00
_cell_angle_beta 103.50
_cell_angle_gamma 90.00
_space_group_name_H-M_alt 'C 1 2/m 1'
_space_group_IT_number 12
loop_
_space_group_symop_operation_xyz
'x,y,z'
'-x,-y,-z'
'-x,y,-z'
'x,-y,z'
'x+1/2,y+1/2,z'
'-x+1/2,-y+1/2,-z'
'-x+1/2,y+1/2,-z'
'x+1/2,-y+1/2,z'
loop_
_atom_site_label
_atom_site_type_symbol
_atom_site_fract_x
_atom_site_fract_y
_atom_site_fract_z
Mg1 Mg 0.0000 0.1820 0.0000
Zr1 Zr 0.0000 0.5000 0.5000
F1 F 0.0000 0.2744 0.5000
F2 F 0.1494 0.0000 0.3239
F3 F 0.1927 0.3717 0.0891
# - uncorrected energy (Ry per atom) = -0.4211
# - size of the total moment (μB per formula unit) = 0.0
# - mass density (g cm⁻³) = 4.3

---

Question: Look up the mass density of the third one.
Answer: 7.6 g cm⁻³

---

Question: size of the total moment of number 1 (Ac4Tb6Nd)?
Answer: 0.0 μB per formula unit